No. 1
An optimized crystal structure of Dy2ErMgN. Source: Alexandria via LeMat-Bulk, functional GGA-PBE.

The structure belongs to space group P4/mmm (No. 123); the cell edges are 4.885, 4.885 and 4.788 Å and the angles 90.00°, 90.00° and 90.00°. Symmetry generates all atoms from Dy at (0.000, 0.500, 0.000), Er at (0.000, 0.000, 0.500), Mg at (0.500, 0.500, 0.500) and N at (0.000, 0.000, 0.000).

Its spin magnetization is 0.0 μB per formula unit. The formation energy without anion corrections comes out at -713 meV/atom.



No. 2
An optimized crystal structure of CrCo3Tc. Source: Alexandria via LeMat-Bulk, functional GGA-PBE.

The structure belongs to space group Pm-3m (No. 221); the cell edges are 4.337, 4.337 and 4.337 Å and the angles 90.00°, 90.00° and 90.00°. Symmetry generates all atoms from Cr at (0.000, 0.000, 0.000), Co at (0.000, 0.500, 0.500) and Tc at (0.500, 0.500, 0.500).

Its spin magnetization is 1.2 μB per formula unit. The energy of formation comes out at 1803 meV/atom. The calculation puts the energy above the most stable polymorph in this dataset at 2.543 eV per formula unit.



No. 3
An optimized crystal structure of NiMoAs2. Source: Alexandria via LeMat-Bulk, functional GGA-PBE.

The structure belongs to space group P2/m (No. 10); the cell edges are 3.207, 3.202 and 5.921 Å and the angles 90.00°, 99.34° and 90.00°. Symmetry generates all atoms from Ni at (0.000, 0.000, 0.000), Mo at (0.000, 0.000, 0.500) and As at (0.420, 0.500, 0.253).

Its spin magnetization is 0.0 μB per formula unit. The energy of formation comes out at -28 meV/atom.



Number 1: volume 114.3 Å³ per cell. Number 2: volume 81.6 Å³ per cell. Number 3: volume 60.0 Å³ per cell.